Record 1
Here is Li2PaBiO8 after structural relaxation from Alexandria. Energies are from GGA-PBE.

```
data_Li2PaBiO8
_space_group_name_H-M_alt 'I -4 m 2'
_space_group_IT_number 119
_space_group_name_Hall 'I -4 -2'
_cell_length_a 6.493
_cell_length_b 6.493
_cell_length_c 7.880
_cell_angle_alpha 90.00
_cell_angle_beta 90.00
_cell_angle_gamma 90.00
loop_
_atom_site_label
_atom_site_type_symbol
_atom_site_fract_x
_atom_site_fract_y
_atom_site_fract_z
_atom_site_occupancy
Li1 Li 0.000 0.000 0.000 1
Li2 Li 0.000 0.500 0.250 1
Pa1 Pa 0.000 0.500 0.750 1
Bi1 Bi 0.000 0.000 0.500 1
O1 O 0.000 0.179 0.770 1
O2 O 0.000 0.386 0.466 1
```

Crystal system: tetragonal
Theoretical density, g/cm³: 5.82
DFT total energy, eV per formula unit: -74.32
Formation energy without anion corrections, kJ/mol of atoms: -140.3
Spin magnetization, μB per cell: 0.42

***

Record 2
Here is LiBiPb2O6 after structural relaxation from Alexandria. Energies are from GGA-PBE.

```
data_LiBiPb2O6
_space_group_name_H-M_alt 'R 3'
_space_group_IT_number 146
_space_group_name_Hall 'R 3'
_cell_length_a 5.8265
_cell_length_b 5.8265
_cell_length_c 14.8711
_cell_angle_alpha 90.00
_cell_angle_beta 90.00
_cell_angle_gamma 120.00
loop_
_atom_site_label
_atom_site_type_symbol
_atom_site_fract_x
_atom_site_fract_y
_atom_site_fract_z
_atom_site_occupancy
Li1 Li 0.0000 0.0000 0.0000 1
Bi1 Bi 0.0000 0.0000 0.5156 1
Pb1 Pb 0.0000 0.0000 0.2950 1
Pb2 Pb 0.0000 0.0000 0.7942 1
O1 O 0.0228 0.2950 0.4025 1
O2 O 0.0340 0.6302 0.5668 1
```

Crystal system: trigonal
Theoretical density, g/cm³: 8.28
DFT total energy, eV per formula unit: -53.82
Formation energy without anion corrections, kJ/mol of atoms: -104.8
Spin magnetization, μB per cell: 0.00

***

Record 3
Here is LiBiPbO3 after structural relaxation from Alexandria. Energies are from GGA-PBE.

```
data_LiBiPbO3
_space_group_name_H-M_alt 'P 1 21/m 1'
_space_group_IT_number 11
_space_group_name_Hall '-P 2yb'
_cell_length_a 7.198
_cell_length_b 3.576
_cell_length_c 8.271
_cell_angle_alpha 90.00
_cell_angle_beta 102.18
_cell_angle_gamma 90.00
loop_
_atom_site_label
_atom_site_type_symbol
_atom_site_fract_x
_atom_site_fract_y
_atom_site_fract_z
_atom_site_occupancy
Li1 Li 0.100 0.250 0.069 1
Bi1 Bi 0.304 0.750 0.338 1
Pb1 Pb 0.286 0.750 0.776 1
O1 O 0.041 0.750 0.159 1
O2 O 0.313 0.250 0.602 1
O3 O 0.375 0.250 0.195 1
```

Crystal system: monoclinic
Theoretical density, g/cm³: 7.52
DFT total energy, eV per formula unit: -31.99
Formation energy without anion corrections, kJ/mol of atoms: -122.4
Spin magnetization, μB per cell: 0.00

***

Please write out number 1 again, unchanged.
Here is Li2PaBiO8 after structural relaxation from Alexandria. Energies are from GGA-PBE.

```
data_Li2PaBiO8
_space_group_name_H-M_alt 'I -4 m 2'
_space_group_IT_number 119
_space_group_name_Hall 'I -4 -2'
_cell_length_a 6.493
_cell_length_b 6.493
_cell_length_c 7.880
_cell_angle_alpha 90.00
_cell_angle_beta 90.00
_cell_angle_gamma 90.00
loop_
_atom_site_label
_atom_site_type_symbol
_atom_site_fract_x
_atom_site_fract_y
_atom_site_fract_z
_atom_site_occupancy
Li1 Li 0.000 0.000 0.000 1
Li2 Li 0.000 0.500 0.250 1
Pa1 Pa 0.000 0.500 0.750 1
Bi1 Bi 0.000 0.000 0.500 1
O1 O 0.000 0.179 0.770 1
O2 O 0.000 0.386 0.466 1
```

Crystal system: tetragonal
Theoretical density, g/cm³: 5.82
DFT total energy, eV per formula unit: -74.32
Formation energy without anion corrections, kJ/mol of atoms: -140.3
Spin magnetization, μB per cell: 0.42

***

Which formula does entry 2 have? LiBiPb2O6

***

The lowest DFT total energy belongs to which entry? Li2PaBiO8